# PdW3I | Alexandria via LeMat-Bulk | GGA-PBE | optimized geometry
data_PdW3I
_cell_length_a 4.827
_cell_length_b 4.827
_cell_length_c 4.827
_cell_angle_alpha 90.00
_cell_angle_beta 90.00
_cell_angle_gamma 90.00
_space_group_name_H-M_alt 'P m -3 m'
_space_group_IT_number 221
_space_group_name_Hall '-P 4 2 3'
loop_
_atom_site_label
_atom_site_fract_x
_atom_site_fract_y
_atom_site_fract_z
_atom_site_occupancy
Pd1 0.000 0.000 0.000 1
W1 0.000 0.000 0.500 1
I1 0.500 0.500 0.500 1
# **Spin magnetization**: 0.00 Bohr magnetons per cell
# **ΔE to the lowest computed polymorph**: 0.0 kJ per mole of atoms
# **Uncorrected formation energy**: 2.50 eV/atom
# **Final energy**: -6.625 eV/atom